(1)
Computed, not measured: a relaxed structure of Cr2AgP at the PBE-GGA level of DFT.

a = 3.218 Å, b = 4.124 Å, c = 9.026 Å
α = 90.00°, β = 90.00°, γ = 90.00°
Fractional coordinates of all 8 atoms:
Cr  0.000  0.000  0.000
Cr  0.000  0.500  0.192
Cr  0.500  0.000  0.692
Cr  0.500  0.500  0.500
Ag  0.000  0.000  0.420
Ag  0.500  0.500  0.920
P  0.000  0.500  0.692
P  0.500  0.000  0.192

Properties
- calculated volume (Å³ per cell) = 119.8
- SG = Imm2 (44)
- formation energy (eV/atom) = 0.2766

(2)
Computed, not measured: a relaxed structure of Pr2ThUN5 at the PBE-GGA level of DFT.

a = 4.092 Å, b = 4.092 Å, c = 9.189 Å
α = 90.00°, β = 90.00°, γ = 90.00°
Fractional coordinates of all 9 atoms:
Pr  0.000  0.000  0.229
Pr  0.000  0.000  0.771
Th  0.500  0.500  0.500
U  0.500  0.500  0.000
N  0.000  0.000  0.500
N  0.000  0.500  0.000
N  0.500  0.000  0.000
N  0.500  0.500  0.253
N  0.500  0.500  0.747

Properties
- calculated volume (Å³ per cell) = 153.9
- SG = P4/mmm (123)
- formation energy from raw total energies (meV/atom) = -1239

(3)
Computed, not measured: a relaxed structure of TePdPt at the PBE-GGA level of DFT.

a = 3.565 Å, b = 3.565 Å, c = 9.718 Å
α = 90.00°, β = 90.00°, γ = 90.00°
Fractional coordinates of all 6 atoms:
Te  0.250  0.250  0.168
Te  0.750  0.750  0.832
Pd  0.250  0.250  0.718
Pd  0.750  0.750  0.282
Pt  0.250  0.250  0.434
Pt  0.750  0.750  0.566

Properties
- calculated volume (Å³ per cell) = 123.5
- SG = P4/nmm (129)
- formation energy from raw total energies (meV/atom) = -164

The evaluated calculated density for the records listed, in turn: 6.73; 8.87; 11.54 g/cm3.